[1]
The following is a DFT calculation (PBE-GGA) of a relaxed CaTl2Au crystal.

Calculated values
energy relative to the elements = -0.276 eV per atom
SG = P2/m, No. 10
DOS(E_F) = 2.0 states/eV/cell

Cell lengths 3.867, 4.921, 5.791 Å; angles 90.00, 100.86, 90.00 degrees
Element x y z (fractional)
Ca (0.000, 0.000, 0.000)
Tl (0.318, 0.500, 0.728)
Tl (0.682, 0.500, 0.272)
Au (0.500, 0.000, 0.500)

---

[2]
The following is a DFT calculation (PBE-GGA) of a relaxed NbOs2Ru2 crystal.

Calculated values
energy relative to the elements = 0.015 eV per atom
SG = P2_1/c, No. 14
DOS(E_F) = 21.7 states/eV/cell

Cell lengths 11.442, 5.499, 4.793 Å; angles 90.00, 98.36, 90.00 degrees
Element x y z (fractional)
Nb (0.199, 0.105, 0.149)
Nb (0.199, 0.395, 0.649)
Nb (0.801, 0.605, 0.351)
Nb (0.801, 0.895, 0.851)
Os (0.003, 0.631, 0.764)
Os (0.003, 0.869, 0.264)
Os (0.405, 0.120, 0.558)
Os (0.405, 0.380, 0.058)
Os (0.595, 0.620, 0.942)
Os (0.595, 0.880, 0.442)
Os (0.997, 0.131, 0.736)
Os (0.997, 0.369, 0.236)
Ru (0.202, 0.613, 0.154)
Ru (0.202, 0.887, 0.654)
Ru (0.403, 0.632, 0.547)
Ru (0.403, 0.868, 0.047)
Ru (0.597, 0.132, 0.953)
Ru (0.597, 0.368, 0.453)
Ru (0.798, 0.113, 0.346)
Ru (0.798, 0.387, 0.846)

---

[3]
The following is a DFT calculation (PBE-GGA) of a relaxed PrScGe crystal.

Calculated values
energy relative to the elements = -0.692 eV per atom
SG = P4/nmm, No. 129
DOS(E_F) = 6.1 states/eV/cell

Cell lengths 4.353, 4.353, 8.000 Å; angles 90.00, 90.00, 90.00 degrees
Element x y z (fractional)
Pr (0.250, 0.250, 0.146)
Pr (0.750, 0.750, 0.854)
Sc (0.250, 0.750, 0.500)
Sc (0.750, 0.250, 0.500)
Ge (0.250, 0.250, 0.737)
Ge (0.750, 0.750, 0.263)

---

[4]
The following is a DFT calculation (PBE-GGA) of a relaxed Na3VS4 crystal.

Calculated values
SG = P-42_1c, No. 114
formation energy without anion corrections = -1.05 eV per atom

Cell lengths 13.568, 13.568, 8.012 Å; angles 90.00, 90.00, 90.00 degrees
Element x y z (fractional)
Na (0.000, 0.000, 0.210)
Na (0.000, 0.000, 0.790)
Na (0.000, 0.500, 0.077)
Na (0.000, 0.500, 0.577)
Na (0.045, 0.255, 0.356)
Na (0.200, 0.751, 0.065)
Na (0.245, 0.455, 0.856)
Na (0.249, 0.200, 0.935)
Na (0.251, 0.700, 0.565)
Na (0.255, 0.955, 0.644)
Na (0.300, 0.251, 0.435)
Na (0.455, 0.755, 0.144)
Na (0.500, 0.000, 0.423)
Na (0.500, 0.000, 0.923)
Na (0.500, 0.500, 0.290)
Na (0.500, 0.500, 0.710)
Na (0.545, 0.245, 0.144)
Na (0.700, 0.749, 0.435)
Na (0.745, 0.045, 0.644)
Na (0.749, 0.300, 0.565)
Na (0.751, 0.800, 0.935)
Na (0.755, 0.545, 0.856)
Na (0.800, 0.249, 0.065)
Na (0.955, 0.745, 0.356)
V (0.011, 0.738, 0.781)
V (0.238, 0.511, 0.281)
V (0.262, 0.011, 0.219)
V (0.489, 0.238, 0.719)
V (0.511, 0.762, 0.719)
V (0.738, 0.989, 0.219)
V (0.762, 0.489, 0.281)
V (0.989, 0.262, 0.781)
S (0.008, 0.186, 0.014)
S (0.080, 0.838, 0.605)
S (0.107, 0.612, 0.820)
S (0.112, 0.607, 0.320)
S (0.130, 0.309, 0.681)
S (0.162, 0.080, 0.395)
S (0.186, 0.992, 0.986)
S (0.191, 0.370, 0.181)
S (0.309, 0.870, 0.319)
S (0.314, 0.492, 0.514)
S (0.338, 0.580, 0.105)
S (0.370, 0.809, 0.819)
S (0.388, 0.107, 0.180)
S (0.393, 0.112, 0.680)
S (0.420, 0.338, 0.895)
S (0.492, 0.686, 0.486)
S (0.508, 0.314, 0.486)
S (0.580, 0.662, 0.895)
S (0.607, 0.888, 0.680)
S (0.612, 0.893, 0.180)
S (0.630, 0.191, 0.819)
S (0.662, 0.420, 0.105)
S (0.686, 0.508, 0.514)
S (0.691, 0.130, 0.319)
S (0.809, 0.630, 0.181)
S (0.814, 0.008, 0.986)
S (0.838, 0.920, 0.395)
S (0.870, 0.691, 0.681)
S (0.888, 0.393, 0.320)
S (0.893, 0.388, 0.820)
S (0.920, 0.162, 0.605)
S (0.992, 0.814, 0.014)

---

[5]
The following is a DFT calculation (PBE-GGA) of a relaxed LaSi2Sn2 crystal.

Calculated values
SG = I4/mmm, No. 139
DOS(E_F) = 3.4 states/eV/cell
formation energy without anion corrections = -0.06 eV per atom

Cell lengths 5.192, 5.192, 9.431 Å; angles 90.00, 90.00, 90.00 degrees
Element x y z (fractional)
La (0.000, 0.000, 0.000)
La (0.500, 0.500, 0.500)
Si (0.000, 0.500, 0.250)
Si (0.000, 0.500, 0.750)
Si (0.500, 0.000, 0.250)
Si (0.500, 0.000, 0.750)
Sn (0.000, 0.000, 0.346)
Sn (0.000, 0.000, 0.654)
Sn (0.500, 0.500, 0.154)
Sn (0.500, 0.500, 0.846)

---

[6]
The following is a DFT calculation (PBE-GGA) of a relaxed SrReMo2 crystal.

Calculated values
energy relative to the elements = 0.775 eV per atom
SG = Cm, No. 8
DOS(E_F) = 8.9 states/eV/cell

Cell lengths 9.801, 3.200, 5.894 Å; angles 90.00, 105.30, 90.00 degrees
Element x y z (fractional)
Sr (0.000, 0.000, 0.000)
Sr (0.500, 0.500, 0.000)
Re (0.219, 0.000, 0.638)
Re (0.719, 0.500, 0.638)
Mo (0.007, 0.500, 0.509)
Mo (0.291, 0.500, 0.366)
Mo (0.507, 0.000, 0.509)
Mo (0.791, 0.000, 0.366)

---

[7]
The following is a DFT calculation (PBE-GGA) of a relaxed Th7Sn5Bi crystal.

Calculated values
energy relative to the elements = -0.331 eV per atom
SG = Imm2, No. 44
DOS(E_F) = 12.3 states/eV/cell

Cell lengths 8.546, 8.546, 8.546 Å; angles 136.27, 96.23, 99.72 degrees
Element x y z (fractional)
Th (0.000, 0.000, 0.000)
Th (0.298, 0.629, 0.669)
Th (0.366, 0.366, 0.000)
Th (0.454, 0.119, 0.336)
Th (0.783, 0.119, 0.664)
Th (0.867, 0.367, 0.500)
Th (0.960, 0.629, 0.331)
Sn (0.122, 0.126, 0.492)
Sn (0.122, 0.630, 0.996)
Sn (0.374, 0.874, 0.500)
Sn (0.634, 0.126, 0.004)
Sn (0.634, 0.630, 0.508)
Bi (0.669, 0.669, 0.000)

---

[8]
The following is a DFT calculation (PBE-GGA) of a relaxed Tb3DySc6 crystal.

Calculated values
energy relative to the elements = 0.407 eV per atom
SG = R3, No. 146
DOS(E_F) = 22.0 states/eV/cell

Cell lengths 6.539, 6.539, 6.539 Å; angles 90.39, 90.39, 90.39 degrees
Element x y z (fractional)
Tb (0.000, 0.000, 0.000)
Tb (0.250, 0.250, 0.250)
Tb (0.500, 0.500, 0.500)
Dy (0.750, 0.750, 0.750)
Sc (0.000, 0.332, 0.669)
Sc (0.169, 0.832, 0.501)
Sc (0.332, 0.669, 0.000)
Sc (0.501, 0.169, 0.832)
Sc (0.669, 0.000, 0.332)
Sc (0.832, 0.501, 0.169)

---

[9]
The following is a DFT calculation (PBE-GGA) of a relaxed NaLi2CdPd crystal.

Calculated values
energy relative to the elements = 0.361 eV per atom
SG = P4/mmm, No. 123
DOS(E_F) = 2.0 states/eV/cell

Cell lengths 4.582, 4.582, 4.924 Å; angles 90.00, 90.00, 90.00 degrees
Element x y z (fractional)
Na (0.000, 0.000, 0.000)
Li (0.000, 0.500, 0.000)
Li (0.500, 0.000, 0.000)
Cd (0.500, 0.500, 0.500)
Pd (0.000, 0.000, 0.500)

---

[10]
The following is a DFT calculation (PBE-GGA) of a relaxed AlHI2 crystal.

Calculated values
DFT total energy = -2.153 eV per atom
SG = I-42d, No. 122
DOS(E_F) = 0.0 states/eV/cell

Cell lengths 7.200, 7.200, 8.262 Å; angles 90.00, 90.00, 90.00 degrees
Element x y z (fractional)
Al (0.000, 0.000, 0.000)
Al (0.000, 0.500, 0.250)
Al (0.500, 0.000, 0.750)
Al (0.500, 0.500, 0.500)
H (0.000, 0.000, 0.500)
H (0.000, 0.500, 0.750)
H (0.500, 0.000, 0.250)
H (0.500, 0.500, 0.000)
I (0.181, 0.250, 0.625)
I (0.250, 0.681, 0.875)
I (0.250, 0.819, 0.375)
I (0.319, 0.250, 0.125)
I (0.681, 0.750, 0.125)
I (0.750, 0.181, 0.375)
I (0.750, 0.319, 0.875)
I (0.819, 0.750, 0.625)

---

[11]
The following is a DFT calculation (PBE-GGA) of a relaxed PmPrGeRh crystal.

Calculated values
energy relative to the elements = -0.777 eV per atom
SG = Amm2, No. 38
DOS(E_F) = 6.8 states/eV/cell

Cell lengths 4.239, 4.265, 10.805 Å; angles 90.00, 90.00, 90.00 degrees
Element x y z (fractional)
Pm (0.000, 0.000, 0.000)
Pm (0.000, 0.500, 0.500)
Pr (0.500, 0.000, 0.719)
Pr (0.500, 0.500, 0.219)
Ge (0.000, 0.000, 0.293)
Ge (0.000, 0.500, 0.793)
Rh (0.500, 0.000, 0.441)
Rh (0.500, 0.500, 0.941)

---

[12]
The following is a DFT calculation (PBE-GGA) of a relaxed TbPmAg2 crystal.

Calculated values
energy relative to the elements = -0.285 eV per atom
SG = Fm-3m, No. 225
DOS(E_F) = 13.5 states/eV/cell

Cell lengths 7.391, 7.391, 7.391 Å; angles 90.00, 90.00, 90.00 degrees
Element x y z (fractional)
Tb (0.000, 0.000, 0.000)
Tb (0.000, 0.500, 0.500)
Tb (0.500, 0.000, 0.500)
Tb (0.500, 0.500, 0.000)
Pm (0.000, 0.000, 0.500)
Pm (0.000, 0.500, 0.000)
Pm (0.500, 0.000, 0.000)
Pm (0.500, 0.500, 0.500)
Ag (0.250, 0.250, 0.250)
Ag (0.250, 0.250, 0.750)
Ag (0.250, 0.750, 0.250)
Ag (0.250, 0.750, 0.750)
Ag (0.750, 0.250, 0.250)
Ag (0.750, 0.250, 0.750)
Ag (0.750, 0.750, 0.250)
Ag (0.750, 0.750, 0.750)

---

[13]
The following is a DFT calculation (PBE-GGA) of a relaxed Pm2PuPbC crystal.

Calculated values
energy relative to the elements = -0.331 eV per atom
SG = P4/mmm, No. 123
DOS(E_F) = 8.7 states/eV/cell

Cell lengths 5.137, 5.137, 4.791 Å; angles 90.00, 90.00, 90.00 degrees
Element x y z (fractional)
Pm (0.000, 0.500, 0.000)
Pm (0.500, 0.000, 0.000)
Pu (0.000, 0.000, 0.500)
Pb (0.500, 0.500, 0.500)
C (0.000, 0.000, 0.000)

---

[14]
The following is a DFT calculation (PBE-GGA) of a relaxed AlCr2Fe crystal.

Calculated values
energy relative to the elements = 0.034 eV per atom
SG = Pmmm, No. 47
DOS(E_F) = 3.5 states/eV/cell

Cell lengths 2.525, 3.900, 4.825 Å; angles 90.00, 90.00, 90.00 degrees
Element x y z (fractional)
Al (0.000, 0.000, 0.000)
Cr (0.500, 0.500, 0.253)
Cr (0.500, 0.500, 0.747)
Fe (0.000, 0.000, 0.500)

---

[15]
The following is a DFT calculation (PBE-GGA) of a relaxed K2BaSn2S4 crystal.

Calculated values
SG = C2/m, No. 12
formation energy without anion corrections = -1.06 eV per atom

Cell lengths 9.625, 9.625, 8.210 Å; angles 102.51, 102.51, 25.59 degrees
Element x y z (fractional)
K (0.145, 0.145, 0.109)
K (0.855, 0.855, 0.891)
Ba (0.000, 0.000, 0.500)
Sn (0.309, 0.309, 0.431)
Sn (0.691, 0.691, 0.569)
S (0.158, 0.158, 0.739)
S (0.417, 0.417, 0.674)
S (0.583, 0.583, 0.326)
S (0.842, 0.842, 0.261)

---

[16]
The following is a DFT calculation (PBE-GGA) of a relaxed Pm12Y3Cd crystal.

Calculated values
energy relative to the elements = -0.009 eV per atom
SG = P4/mmm, No. 123
DOS(E_F) = 23.5 states/eV/cell

Cell lengths 5.075, 5.075, 20.541 Å; angles 90.00, 90.00, 90.00 degrees
Element x y z (fractional)
Pm (0.000, 0.000, 0.000)
Pm (0.000, 0.000, 0.245)
Pm (0.000, 0.000, 0.500)
Pm (0.000, 0.000, 0.755)
Pm (0.000, 0.500, 0.121)
Pm (0.000, 0.500, 0.374)
Pm (0.000, 0.500, 0.626)
Pm (0.000, 0.500, 0.879)
Pm (0.500, 0.000, 0.121)
Pm (0.500, 0.000, 0.374)
Pm (0.500, 0.000, 0.626)
Pm (0.500, 0.000, 0.879)
Y (0.500, 0.500, 0.247)
Y (0.500, 0.500, 0.500)
Y (0.500, 0.500, 0.753)
Cd (0.500, 0.500, 0.000)

---

[17]
The following is a DFT calculation (PBE-GGA) of a relaxed CeCo3H10 crystal.

Calculated values
DFT total energy = -4.424 eV per atom
SG = Fm-3m, No. 225
DOS(E_F) = 11.0 states/eV/cell

Cell lengths 6.283, 6.283, 6.283 Å; angles 60.00, 60.00, 60.00 degrees
Element x y z (fractional)
Ce (0.250, 0.250, 0.250)
Ce (0.750, 0.750, 0.750)
Co (0.230, 0.230, 0.770)
Co (0.230, 0.770, 0.230)
Co (0.230, 0.770, 0.770)
Co (0.770, 0.230, 0.230)
Co (0.770, 0.230, 0.770)
Co (0.770, 0.770, 0.230)
H (0.103, 0.103, 0.103)
H (0.103, 0.103, 0.692)
H (0.103, 0.692, 0.103)
H (0.181, 0.500, 0.500)
H (0.181, 0.500, 0.819)
H (0.181, 0.819, 0.500)
H (0.308, 0.897, 0.897)
H (0.500, 0.181, 0.500)
H (0.500, 0.181, 0.819)
H (0.500, 0.500, 0.181)
H (0.500, 0.500, 0.819)
H (0.500, 0.819, 0.181)
H (0.500, 0.819, 0.500)
H (0.692, 0.103, 0.103)
H (0.819, 0.181, 0.500)
H (0.819, 0.500, 0.181)
H (0.819, 0.500, 0.500)
H (0.897, 0.308, 0.897)
H (0.897, 0.897, 0.308)
H (0.897, 0.897, 0.897)

---

It is found that the size of the total moment values, taken in the order of the records, are 0.0 0.0 2.2 0.0 0.0 0.0 0.0 0.0 0.0 0.0 0.0 0.0 5.7 0.6 0.0 0.0 0.0 μB per cell.